No. 1
Material: BeInPt3
Method: DFT, GGA-PBE
State: relaxed

Formation energy from the elements: -254 meV per atom
Relative energy among the computed polymorphs: 0 meV per atom
Total magnetic moment: 0.000 μB/f.u.

Unit cell a=4.303 b=4.303 c=4.303 alpha=90.00 beta=90.00 gamma=90.00
Atoms (fractional coordinates):
Be1 0.000 0.000 0.000
In1 0.500 0.500 0.500
Pt1 0.000 0.000 0.500
Pt2 0.000 0.500 0.000
Pt3 0.500 0.000 0.000



No. 2
Material: Sm3WC3
Method: DFT, GGA-PBE
State: relaxed

Formation energy from the elements: -221 meV per atom
Total magnetic moment: 0.000 μB/f.u.

Unit cell a=7.011 b=7.011 c=5.342 alpha=90.00 beta=90.00 gamma=100.63
Atoms (fractional coordinates):
Sm1 0.110 0.890 0.750
Sm2 0.172 0.405 0.750
Sm3 0.405 0.172 0.250
Sm4 0.595 0.828 0.750
Sm5 0.828 0.595 0.250
Sm6 0.890 0.110 0.250
W1 0.307 0.693 0.250
W2 0.693 0.307 0.750
C1 0.124 0.876 0.250
C2 0.177 0.417 0.250
C3 0.417 0.177 0.750
C4 0.583 0.823 0.250
C5 0.823 0.583 0.750
C6 0.876 0.124 0.750



No. 3
Material: Lu3Se
Method: DFT, GGA-PBE
State: relaxed

Relative energy among the computed polymorphs: 0 meV per atom
Total magnetic moment: 0.680 μB/f.u.
Formation energy (no corrections): -0.651 eV/atom

Unit cell a=5.946 b=5.946 c=5.946 alpha=144.78 beta=74.37 gamma=116.90
Atoms (fractional coordinates):
Lu1 0.000 0.000 0.000
Lu2 0.373 0.569 0.803
Lu3 0.766 0.569 0.197
Se1 0.344 0.844 0.500



No. 4
Material: Ba4Ir2I
Method: DFT, GGA-PBE
State: relaxed

Total magnetic moment: 0.000 μB/f.u.
Formation energy (no corrections): -0.380 eV/atom

Unit cell a=9.624 b=9.624 c=9.624 alpha=119.94 beta=119.94 gamma=90.11
Atoms (fractional coordinates):
Ba1 0.270 0.311 0.541
Ba2 0.270 0.729 0.959
Ba3 0.271 0.730 0.541
Ba4 0.311 0.270 0.041
Ba5 0.689 0.730 0.959
Ba6 0.729 0.270 0.459
Ba7 0.730 0.271 0.041
Ba8 0.730 0.689 0.459
Ir1 0.000 0.500 0.500
Ir2 0.500 0.000 0.000
Ir3 0.500 0.500 0.000
Ir4 0.500 0.500 0.500
I1 0.125 0.875 0.250
I2 0.875 0.125 0.750



No. 5
Material: InNiAs2
Method: DFT, GGA-PBE
State: relaxed

Formation energy from the elements: 126 meV per atom
Total magnetic moment: 0.000 μB/f.u.

Unit cell a=2.992 b=2.992 c=8.163 alpha=90.00 beta=90.00 gamma=90.00
Atoms (fractional coordinates):
In1 0.000 0.000 0.000
Ni1 0.500 0.500 0.234
As1 0.000 0.000 0.399
As2 0.500 0.500 0.711